Entry 1:
# Nd7InBr12 | the Alexandria database | PBE | relaxed
# Energy: -4.357 eV/atom
# Crystal system: trigonal
data_Nd7InBr12
_chemical_formula_sum 'Nd21 In3 Br36'
_symmetry_space_group_name_H-M 'R -3'
_symmetry_Int_Tables_number 148
_symmetry_space_group_name_Hall '-R 3'
_cell_length_a 15.8179
_cell_length_b 15.8179
_cell_length_c 9.5945
_cell_angle_alpha 90.00
_cell_angle_beta 90.00
_cell_angle_gamma 120.00
loop_
_atom_site_label
_atom_site_type_symbol
_atom_site_fract_x
_atom_site_fract_y
_atom_site_fract_z
Nd1 Nd 0.0000 0.0000 0.0000
Nd2 Nd 0.0463 0.1710 0.3114
In1 In 0.0000 0.0000 0.5000
Br1 Br 0.0359 0.5883 0.1644
Br2 Br 0.0509 0.1890 0.8485

---

Entry 2:
# NdIn2Br6 | the Alexandria database | PBE | relaxed
# Energy: -3.355 eV/atom
# Crystal system: orthorhombic
data_NdIn2Br6
_chemical_formula_sum 'Nd2 In4 Br12'
_symmetry_space_group_name_H-M 'I m m m'
_symmetry_Int_Tables_number 71
_symmetry_space_group_name_Hall '-I 2 2'
_cell_length_a 5.218
_cell_length_b 7.380
_cell_length_c 15.477
_cell_angle_alpha 90.00
_cell_angle_beta 90.00
_cell_angle_gamma 90.00
loop_
_atom_site_label
_atom_site_type_symbol
_atom_site_fract_x
_atom_site_fract_y
_atom_site_fract_z
Nd1 Nd 0.000 0.000 0.000
In1 In 0.000 0.000 0.333
Br1 Br 0.000 0.244 0.158
Br2 Br 0.000 0.269 0.500

---

Entry 3:
# NdInBr | the Alexandria database | PBE | relaxed
# Energy: -4.121 eV/atom
# Crystal system: trigonal
data_NdInBr
_chemical_formula_sum 'Nd6 In6 Br6'
_symmetry_space_group_name_H-M 'R -3 m'
_symmetry_Int_Tables_number 166
_symmetry_space_group_name_Hall '-R 3 2"'
_cell_length_a 4.5548
_cell_length_b 4.5548
_cell_length_c 33.7537
_cell_angle_alpha 90.00
_cell_angle_beta 90.00
_cell_angle_gamma 120.00
loop_
_atom_site_label
_atom_site_type_symbol
_atom_site_fract_x
_atom_site_fract_y
_atom_site_fract_z
Nd1 Nd 0.0000 0.0000 0.0668
In1 In 0.0000 0.0000 0.3476
Br1 Br 0.0000 0.0000 0.2174

---

Entry 4:
# NdInBr | the Alexandria database | PBE | relaxed
# Energy: -3.919 eV/atom
# Crystal system: monoclinic
data_NdInBr
_chemical_formula_sum 'Nd8 In8 Br8'
_symmetry_space_group_name_H-M 'C 1 2/m 1'
_symmetry_Int_Tables_number 12
_cell_length_a 23.952
_cell_length_b 4.324
_cell_length_c 8.210
_cell_angle_alpha 90.00
_cell_angle_beta 95.55
_cell_angle_gamma 90.00
loop_
_symmetry_equiv_pos_as_xyz
'x,y,z'
'-x,-y,-z'
'-x,y,-z'
'x,-y,z'
'x+1/2,y+1/2,z'
'-x+1/2,-y+1/2,-z'
'-x+1/2,y+1/2,-z'
'x+1/2,-y+1/2,z'
loop_
_atom_site_label
_atom_site_type_symbol
_atom_site_fract_x
_atom_site_fract_y
_atom_site_fract_z
Nd1 Nd 0.141 0.000 0.082
Nd2 Nd 0.141 0.000 0.601
In1 In 0.242 0.500 0.124
In2 In 0.245 0.500 0.623
Br1 Br 0.057 0.000 0.317
Br2 Br 0.093 0.500 0.825

---

Entry 5:
# NdInPb2Br8 | the Alexandria database | PBE | relaxed
# Energy: -3.534 eV/atom
# Crystal system: monoclinic
data_NdInPb2Br8
_chemical_formula_sum 'Nd1 In1 Pb2 Br8'
_symmetry_space_group_name_H-M 'P 1 2/m 1'
_symmetry_Int_Tables_number 10
_cell_length_a 6.939
_cell_length_b 9.286
_cell_length_c 7.312
_cell_angle_alpha 90.00
_cell_angle_beta 90.72
_cell_angle_gamma 90.00
loop_
_symmetry_equiv_pos_as_xyz
'x,y,z'
'-x,-y,-z'
'-x,y,-z'
'x,-y,z'
loop_
_atom_site_label
_atom_site_type_symbol
_atom_site_fract_x
_atom_site_fract_y
_atom_site_fract_z
Nd1 Nd 0.000 0.000 0.000
In1 In 0.000 0.500 0.000
Pb1 Pb 0.500 0.254 0.500
Br1 Br 0.240 0.225 0.159
Br2 Br 0.247 0.000 0.675
Br3 Br 0.271 0.500 0.642

---

Entry 6:
# NdInPbBr6 | the Alexandria database | PBE | relaxed
# Energy: -3.657 eV/atom
# Crystal system: trigonal
data_NdInPbBr6
_chemical_formula_sum 'Nd2 In2 Pb2 Br12'
_symmetry_space_group_name_H-M 'P -3 1 c'
_symmetry_Int_Tables_number 163
_symmetry_space_group_name_Hall '-P 3 2c'
_cell_length_a 7.7219
_cell_length_b 7.7219
_cell_length_c 14.1743
_cell_angle_alpha 90.00
_cell_angle_beta 90.00
_cell_angle_gamma 120.00
loop_
_atom_site_label
_atom_site_type_symbol
_atom_site_fract_x
_atom_site_fract_y
_atom_site_fract_z
Nd1 Nd 0.3333 0.6667 0.2500
In1 In 0.0000 0.0000 0.0000
Pb1 Pb 0.3333 0.6667 0.7500
Br1 Br 0.0140 0.3692 0.1317

---

Entry 7:
# Nd6InSi2Br3 | the Alexandria database | PBE | relaxed
# Energy: -4.895 eV/atom
# Crystal system: monoclinic
data_Nd6InSi2Br3
_chemical_formula_sum 'Nd12 In2 Si4 Br6'
_symmetry_space_group_name_H-M 'C 1 2/m 1'
_symmetry_Int_Tables_number 12
_cell_length_a 19.286
_cell_length_b 4.259
_cell_length_c 8.990
_cell_angle_alpha 90.00
_cell_angle_beta 103.78
_cell_angle_gamma 90.00
loop_
_symmetry_equiv_pos_as_xyz
'x,y,z'
'-x,-y,-z'
'-x,y,-z'
'x,-y,z'
'x+1/2,y+1/2,z'
'-x+1/2,-y+1/2,-z'
'-x+1/2,y+1/2,-z'
'x+1/2,-y+1/2,z'
loop_
_atom_site_label
_atom_site_type_symbol
_atom_site_fract_x
_atom_site_fract_y
_atom_site_fract_z
Nd1 Nd 0.012 0.000 0.257
Nd2 Nd 0.166 0.500 0.119
Nd3 Nd 0.176 0.500 0.567
In1 In 0.000 0.500 0.000
Si1 Si 0.168 0.000 0.340
Br1 Br 0.000 0.500 0.500
Br2 Br 0.167 0.000 0.835

---

Entry 8:
# SrNdInBr6 | the Alexandria database | PBE | relaxed
# Energy: -3.827 eV/atom
# Crystal system: trigonal
data_SrNdInBr6
_chemical_formula_sum 'Sr2 Nd2 In2 Br12'
_symmetry_space_group_name_H-M 'P -3 1 c'
_symmetry_Int_Tables_number 163
_symmetry_space_group_name_Hall '-P 3 2c'
_cell_length_a 7.7852
_cell_length_b 7.7852
_cell_length_c 14.0821
_cell_angle_alpha 90.00
_cell_angle_beta 90.00
_cell_angle_gamma 120.00
loop_
_atom_site_label
_atom_site_type_symbol
_atom_site_fract_x
_atom_site_fract_y
_atom_site_fract_z
Sr1 Sr 0.3333 0.6667 0.2500
Nd1 Nd 0.3333 0.6667 0.7500
In1 In 0.0000 0.0000 0.0000
Br1 Br 0.0155 0.3706 0.6319